A plane-wave DFT calculation with PBE was carried out for an optimized crystal structure of Ca3La5.

Cell and atoms, written as POSCAR:
```
Ca3La5
1.0
2.594 -2.712 0.000
2.594 2.712 0.000
0.000 0.000 21.896
Ca La
3 5
Direct
0.000 0.000 0.000
0.500 0.500 0.132
0.500 0.500 0.868
0.000 0.000 0.264
0.000 0.000 0.500
0.000 0.000 0.736
0.500 0.500 0.378
0.500 0.500 0.622
```

Values from the calculation:
The calculation puts the spin magnetization at 0.00 μB per formula unit. The crystal system is orthorhombic. The theoretical density comes out at 4.39 Mg/m³. The final energy comes out at -30.49 eV for the cell shown. As for the symmetry: Cmmm (65). As for the density of states at the Fermi level: 12.21 states/eV/cell.